Li3Ta2Co3O12 | PBE+U | relaxed

Output
Total DFT energy (no corrections)   -1062.32 eV per cell
Total magnetization   0.200 μB/atom

Lattice parameters (Å, degrees): 11.6132 11.6132 11.6132 90.00 90.00 90.00
Space group Ia-3d (No. 230)
Inequivalent atoms, fractional coordinates:
Li: 0.0000 0.2500 0.3750 (multiplicity 24)
Ta: 0.0000 0.0000 0.0000 (multiplicity 16)
Co: 0.0000 0.2500 0.1250 (multiplicity 24)
O: 0.0303 0.0739 0.6513 (multiplicity 96)